# Tb2LuPd GGA-PBE optimized geometry
data_Tb2LuPd
_chemical_formula_sum 'Tb6 Lu3 Pd3'
_symmetry_space_group_name_H-M 'R -3 m'
_symmetry_Int_Tables_number 166
_symmetry_space_group_name_Hall '-R 3 2"'
_cell_length_a 3.4018
_cell_length_b 3.4018
_cell_length_c 32.8319
_cell_angle_alpha 90.00
_cell_angle_beta 90.00
_cell_angle_gamma 120.00
loop_
_atom_site_label
_atom_site_type_symbol
_atom_site_fract_x
_atom_site_fract_y
_atom_site_fract_z
Tb1 Tb 0.0000 0.0000 0.0800
Lu1 Lu 0.0000 0.0000 0.5000
Pd1 Pd 0.0000 0.0000 0.0000
# N(E_F), states/eV per cell: 8.91
# Energy relative to the elements, eV per atom: 0.051
# Energy above the lowest structure with this stoichiometry, meV/atom: 439.9

***

# Nd4TeS3 GGA-PBE optimized geometry
data_Nd4TeS3
_chemical_formula_sum 'Nd8 Te2 S6'
_symmetry_space_group_name_H-M 'P 63/m m c'
_symmetry_Int_Tables_number 194
_symmetry_space_group_name_Hall '-P 6c 2c'
_cell_length_a 4.1325
_cell_length_b 4.1325
_cell_length_c 27.9134
_cell_angle_alpha 90.00
_cell_angle_beta 90.00
_cell_angle_gamma 120.00
loop_
_atom_site_label
_atom_site_type_symbol
_atom_site_fract_x
_atom_site_fract_y
_atom_site_fract_z
Nd1 Nd 0.0000 0.0000 0.1728
Nd2 Nd 0.3333 0.6667 0.0611
Te1 Te 0.3333 0.6667 0.2500
S1 S 0.0000 0.0000 0.0000
S2 S 0.3333 0.6667 0.6169
# N(E_F), states/eV per cell: 6.02
# Energy relative to the elements, uncorrected, eV/atom: -1.89

***

# Tl2CuTe2Se6 GGA-PBE optimized geometry
data_Tl2CuTe2Se6
_chemical_formula_sum 'Tl4 Cu2 Te4 Se12'
_symmetry_space_group_name_H-M 'C 1 2/m 1'
_symmetry_Int_Tables_number 12
_cell_length_a 6.958
_cell_length_b 12.037
_cell_length_c 7.912
_cell_angle_alpha 90.00
_cell_angle_beta 108.14
_cell_angle_gamma 90.00
loop_
_symmetry_equiv_pos_as_xyz
'x,y,z'
'-x,-y,-z'
'-x,y,-z'
'x,-y,z'
'x+1/2,y+1/2,z'
'-x+1/2,-y+1/2,-z'
'-x+1/2,y+1/2,-z'
'x+1/2,-y+1/2,z'
loop_
_atom_site_label
_atom_site_type_symbol
_atom_site_fract_x
_atom_site_fract_y
_atom_site_fract_z
Tl1 Tl 0.000 0.174 0.000
Cu1 Cu 0.000 0.000 0.500
Te1 Te 0.000 0.331 0.500
Se1 Se 0.233 0.000 0.307
Se2 Se 0.233 0.156 0.708
# N(E_F), states/eV per cell: 14.32
# Energy relative to the elements, uncorrected, eV/atom: -0.11

***

# Li2CrIn2 GGA-PBE optimized geometry
data_Li2CrIn2
_chemical_formula_sum 'Li4 Cr2 In4'
_symmetry_space_group_name_H-M 'P 4/m b m'
_symmetry_Int_Tables_number 127
_symmetry_space_group_name_Hall '-P 4 2ab'
_cell_length_a 7.583
_cell_length_b 7.583
_cell_length_c 2.986
_cell_angle_alpha 90.00
_cell_angle_beta 90.00
_cell_angle_gamma 90.00
loop_
_atom_site_label
_atom_site_type_symbol
_atom_site_fract_x
_atom_site_fract_y
_atom_site_fract_z
Li1 Li 0.146 0.354 0.000
Cr1 Cr 0.000 0.000 0.500
In1 In 0.157 0.657 0.500
# N(E_F), states/eV per cell: 9.56
# Energy relative to the elements, eV per atom: 0.354